(1)
A relaxed Cs2SiAsF6 crystal, computed with PBE-GGA.

Computed properties:
Volume in A^3/atom: 21.055
Energy relative to the elements, uncorrected in eV per atom: -2.45

a b c (Å): 7.2230 7.2230 8.0715
angles (deg): 90.00 90.00 90.00
Space group I4/mmm (No. 139)
Inequivalent atoms, fractional coordinates:
Cs1 0.0000 0.5000 0.2500 [4 per cell]
Si1 0.0000 0.0000 0.0000 [2 per cell]
As1 0.0000 0.0000 0.5000 [2 per cell]
F1 0.0000 0.0000 0.2189 [4 per cell]
F2 0.1665 0.1665 0.0000 [8 per cell]


(2)
A relaxed Y3ReBi crystal, computed with PBE-GGA.

Computed properties:
Offset from the most stable computed form in meV per atom: 0
Volume in A^3/atom: 31.219
Calculated formation energy in eV per atom: 0.0729

a b c (Å): 5.3843 5.3843 5.3843
angles (deg): 90.00 90.00 90.00
Space group Pm-3m (No. 221)
Inequivalent atoms, fractional coordinates:
Y1 0.0000 0.0000 0.5000 [3 per cell]
Re1 0.0000 0.0000 0.0000 [1 per cell]
Bi1 0.5000 0.5000 0.5000 [1 per cell]


(3)
A relaxed RbB3P crystal, computed with PBE-GGA.

Computed properties:
Offset from the most stable computed form in meV per atom: 1680
Volume in A^3/atom: 14.428
Calculated formation energy in eV per atom: 1.6895

a b c (Å): 4.1629 4.1629 4.1629
angles (deg): 90.00 90.00 90.00
Space group Pm-3m (No. 221)
Inequivalent atoms, fractional coordinates:
Rb1 0.0000 0.0000 0.0000 [1 per cell]
B1 0.0000 0.5000 0.5000 [3 per cell]
P1 0.5000 0.5000 0.5000 [1 per cell]


(4)
A relaxed ScTe2Rh crystal, computed with PBE-GGA.

Computed properties:
Offset from the most stable computed form in meV per atom: 555
Volume in A^3/atom: 28.013
Energy relative to the elements, uncorrected in eV per atom: -0.21

a b c (Å): 3.8815 3.8815 25.7642
angles (deg): 90.00 90.00 120.00
Space group R-3m (No. 166, hexagonal axes)
Inequivalent atoms, fractional coordinates:
Sc1 0.0000 0.0000 0.0000 [3 per cell]
Te1 0.0000 0.0000 0.1108 [6 per cell]
Rh1 0.0000 0.0000 0.5000 [3 per cell]


(5)
A relaxed LiAuF5 crystal, computed with PBE-GGA.

Computed properties:
Volume in A^3/atom: 14.850
Energy relative to the elements, uncorrected in eV per atom: -1.56

a b c (Å): 5.3084 5.3904 8.1276
angles (deg): 98.87 107.34 104.75
Space group P-1 (No. 2)
Inequivalent atoms, fractional coordinates:
Li1 0.1037 0.3551 0.2617 [2 per cell]
Au1 0.5000 0.0000 0.5000 [1 per cell]
Au2 0.5000 0.5000 0.0000 [1 per cell]
F1 0.1612 0.2924 0.0273 [2 per cell]
F2 0.1708 0.0641 0.3479 [2 per cell]
F3 0.2666 0.6383 0.4718 [2 per cell]
F4 0.2929 0.6875 0.8527 [2 per cell]
F5 0.4544 0.2432 0.7825 [2 per cell]


(6)
A relaxed Ho3Zn2 crystal, computed with PBE-GGA.

Computed properties:
Offset from the most stable computed form in meV per atom: 0
Volume in A^3/atom: 24.226
Calculated formation energy in eV per atom: -0.2707

a b c (Å): 3.5476 3.5476 19.2495
angles (deg): 90.00 90.00 90.00
Space group P4/mmm (No. 123)
Inequivalent atoms, fractional coordinates:
Ho1 0.0000 0.0000 0.0000 [1 per cell]
Ho2 0.0000 0.0000 0.1840 [2 per cell]
Ho3 0.0000 0.0000 0.3686 [2 per cell]
Ho4 0.5000 0.5000 0.5000 [1 per cell]
Zn1 0.5000 0.5000 0.0930 [2 per cell]
Zn2 0.5000 0.5000 0.2764 [2 per cell]


(7)
A relaxed CdPS2 crystal, computed with PBE-GGA.

Computed properties:
Offset from the most stable computed form in meV per atom: 21
Volume in A^3/atom: 23.120
Energy relative to the elements, uncorrected in eV per atom: 0.07

a b c (Å): 5.2293 5.2293 13.5278
angles (deg): 90.00 90.00 90.00
Space group I-42d (No. 122)
Inequivalent atoms, fractional coordinates:
Cd1 0.0000 0.0000 0.0000 [4 per cell]
P1 0.0000 0.0000 0.5000 [4 per cell]
S1 0.2065 0.2500 0.6250 [8 per cell]


(8)
A relaxed ErTmNiRu crystal, computed with PBE-GGA.

Computed properties:
Offset from the most stable computed form in meV per atom: 0
Volume in A^3/atom: 18.856
Calculated formation energy in eV per atom: -0.4826

a b c (Å): 3.3678 3.3678 6.6499
angles (deg): 90.00 90.00 90.00
Space group P4mm (No. 99)
Inequivalent atoms, fractional coordinates:
Er1 0.0000 0.0000 0.0000 [1 per cell]
Tm1 0.0000 0.0000 0.4967 [1 per cell]
Ni1 0.5000 0.5000 0.7466 [1 per cell]
Ru1 0.5000 0.5000 0.2499 [1 per cell]


(9)
A relaxed ZrTcPb crystal, computed with PBE-GGA.

Computed properties:
Offset from the most stable computed form in meV per atom: 153
Volume in A^3/atom: 21.360
Calculated formation energy in eV per atom: 0.2237

a b c (Å): 3.4758 5.3136 13.8785
angles (deg): 90.00 90.00 90.00
Space group Fmm2 (No. 42)
Inequivalent atoms, fractional coordinates:
Zr1 0.0000 0.0000 0.0000 [4 per cell]
Tc1 0.0000 0.0000 0.6413 [4 per cell]
Pb1 0.0000 0.0000 0.3084 [4 per cell]


(10)
A relaxed AcPr8In2 crystal, computed with PBE-GGA.

Computed properties:
Volume in A^3/atom: 35.543
Calculated formation energy in eV per atom: -0.0657

a b c (Å): 4.9099 4.9099 16.2181
angles (deg): 90.00 90.00 90.00
Space group P4/mmm (No. 123)
Inequivalent atoms, fractional coordinates:
Ac1 0.0000 0.0000 0.0000 [1 per cell]
Pr1 0.0000 0.5000 0.1854 [4 per cell]
Pr2 0.0000 0.5000 0.5000 [2 per cell]
Pr3 0.5000 0.5000 0.3420 [2 per cell]
In1 0.0000 0.0000 0.3389 [2 per cell]


(11)
A relaxed Ac6Te3Ir2Pt crystal, computed with PBE-GGA.

Computed properties:
Volume in A^3/atom: 34.052
Energy relative to the elements, uncorrected in eV per atom: -1.20

a b c (Å): 7.6998 13.3316 8.3647
angles (deg): 90.00 107.86 90.00
Space group C2/m (No. 12)
Inequivalent atoms, fractional coordinates:
Ac1 0.2283 0.0000 0.2094 [4 per cell]
Ac2 0.2407 0.3292 0.2103 [8 per cell]
Te1 0.0000 0.0000 0.5000 [2 per cell]
Te2 0.0000 0.3349 0.5000 [4 per cell]
Ir1 0.0000 0.1668 0.0000 [4 per cell]
Pt1 0.0000 0.5000 0.0000 [2 per cell]


(12)
A relaxed CrRu2C crystal, computed with PBE-GGA.

Computed properties:
Volume in A^3/atom: 14.652
Calculated formation energy in eV per atom: 0.7140

a b c (Å): 4.9885 4.9885 9.4208
angles (deg): 90.00 90.00 90.00
Space group I-42d (No. 122)
Inequivalent atoms, fractional coordinates:
Cr1 0.0000 0.0000 0.0000 [4 per cell]
Ru1 0.1914 0.2500 0.6250 [8 per cell]
C1 0.0000 0.0000 0.5000 [4 per cell]


(13)
A relaxed PaNbVCr crystal, computed with PBE-GGA.

Computed properties:
Volume in A^3/atom: 16.867
Calculated formation energy in eV per atom: 0.1473

a b c (Å): 6.4622 6.4622 6.4622
angles (deg): 90.00 90.00 90.00
Space group F-43m (No. 216)
Inequivalent atoms, fractional coordinates:
Pa1 0.0000 0.0000 0.0000 [4 per cell]
Nb1 0.0000 0.0000 0.5000 [4 per cell]
V1 0.2500 0.2500 0.2500 [4 per cell]
Cr1 0.2500 0.2500 0.7500 [4 per cell]